## Ru3BrF (PBEsol)

Data for a relaxed structure of Ru3BrF.

## Properties
E (eV per atom): -5.3485
Formation energy (no corrections) (eV per atom): 1.514
V (Å³/f.u.): 81.95
Magnetic moment (μB per atom): 1.576
ρ (g/cm3): 8.15

Lattice parameters (Å, degrees): 4.344 4.344 4.344 90.00 90.00 90.00
Fractional coordinates of all 5 atoms:
Ru 0.000 0.000 0.500
Ru 0.000 0.500 0.000
Ru 0.500 0.000 0.000
Br 0.500 0.500 0.500
F 0.000 0.000 0.000